An optimized crystal structure of Ag2HgAu, computed with GGA-PBEsol.

Computed properties:
uncorrected energy = -2.7963 eV/atom
DOS(E_F) = 1.18 states/eV per cell

extended XYZ file:
```
4
Lattice="2.8987 -4.0537 0.0000 2.8987 4.0537 0.0000 0.0000 0.0000 2.9941" Properties=species:S:1:pos:R:3 pbc="T T T"
Ag 1.4494 2.0269 0.0000
Ag 1.4494 -2.0269 0.0000
Hg 0.0000 0.0000 1.4970
Au 2.8987 0.0000 1.4970
```